[1]
## Er4Sb3C (PBE-GGA)

Data for a relaxed structure of Er4Sb3C.

a b c (Å): 9.4827 8.7501 6.0014
angles (deg): 90.00 90.00 90.00
Space group Pmn2_1 (No. 31)
One atom of each set of equivalent atoms:
Er: 0.0000 0.0799 0.0000 (multiplicity 2)
Er: 0.0000 0.8159 0.5516 (multiplicity 2)
Er: 0.2077 0.6901 0.0023 (multiplicity 4)
Sb: 0.0000 0.1539 0.4953 (multiplicity 2)
Sb: 0.2205 0.3424 0.9990 (multiplicity 4)
C: 0.0000 0.8193 0.9354 (multiplicity 2)

Values from the calculation:
As for the magnetic moment: 0.000 μB/atom. The energy relative to the elements, uncorrected is -0.5655 eV/atom.

[2]
## LaHoNi (PBE-GGA)

Data for a relaxed structure of LaHoNi.

a b c (Å): 5.4811 4.6115 6.5869
angles (deg): 90.00 104.06 90.00
Space group P2_1/m (No. 11)
One atom of each set of equivalent atoms:
La: 0.0842 0.2500 0.2830 (multiplicity 2)
Ho: 0.4465 0.2500 0.7995 (multiplicity 2)
Ni: 0.3704 0.7500 0.5541 (multiplicity 2)

Values from the calculation:
The calculation puts the energy of formation from the pure elements at -218 meV/atom. As for the magnetic moment: 0.000 μB/atom. For the energy above the most stable polymorph in this dataset, the calculation gives 32 meV/atom.

Let's list DFT total energy in order: -44.4, -15.9 eV per formula unit.
Let's list volume in order: 31.12, 26.92 Å³ per atom.